Entry 1:
Here is crystalline BaLiInBi2 at its relaxed geometry from Alexandria. Energies are from GGA-PBE.

Cell lengths 5.322, 5.322, 5.723 Å; angles 90.00, 90.00, 90.00 degrees
Positions (direct):
Ba  0.000  0.000  0.000
Li  0.000  0.000  0.500
In  0.500  0.500  0.000
Bi  0.000  0.500  0.500
Bi  0.500  0.000  0.500

The value obtained for the formation energy is -0.20 eV/atom. The calculated total energy comes out at -15.3 eV/cell.

=====

Entry 2:
Here is crystalline LaMnBe2 at its relaxed geometry from Alexandria. Energies are from GGA-PBE.

Cell lengths 2.886, 3.198, 6.666 Å; angles 90.00, 90.12, 90.00 degrees
Positions (direct):
La  0.000  0.000  0.000
Mn  0.000  0.000  0.500
Be  0.500  0.500  0.339
Be  0.500  0.500  0.661

The value obtained for the formation energy is 0.20 eV/atom. The calculated total energy comes out at -20.8 eV/cell.

=====

Entry 3:
Here is crystalline PaAlFeAu at its relaxed geometry from Alexandria. Energies are from GGA-PBE.

Cell lengths 4.735, 4.735, 4.735 Å; angles 60.00, 60.00, 60.00 degrees
Positions (direct):
Pa  0.000  0.000  0.000
Al  0.500  0.500  0.500
Fe  0.250  0.250  0.250
Au  0.750  0.750  0.750

The value obtained for the formation energy is -0.11 eV/atom. The calculated total energy comes out at -25.4 eV/cell.

=====

Entry 4:
Here is crystalline LaPmInN3 at its relaxed geometry from Alexandria. Energies are from GGA-PBE.

Cell lengths 6.083, 3.531, 9.026 Å; angles 90.00, 98.84, 90.00 degrees
Positions (direct):
La  0.164  0.250  0.190
La  0.836  0.750  0.810
Pm  0.262  0.750  0.550
Pm  0.738  0.250  0.450
In  0.347  0.250  0.857
In  0.653  0.750  0.143
N  0.037  0.250  0.665
N  0.252  0.750  0.985
N  0.461  0.750  0.335
N  0.539  0.250  0.665
N  0.748  0.250  0.015
N  0.963  0.750  0.335

For the uncorrected formation energy, the calculation gives -853 meV per atom. The calculated total energy comes out at -85.0 eV/cell.

=====

Entry 5:
Here is crystalline TlHgNF2 at its relaxed geometry from Alexandria. Energies are from GGA-PBE.

Cell lengths 4.876, 4.876, 4.190 Å; angles 90.00, 90.00, 90.00 degrees
Positions (direct):
Tl  0.000  0.000  0.000
Hg  0.500  0.500  0.500
N  0.500  0.500  0.000
F  0.000  0.500  0.500
F  0.500  0.000  0.500

For the uncorrected formation energy, the calculation gives -279 meV per atom. The calculated total energy comes out at -16.1 eV/cell.

=====

Entry 6:
Here is crystalline VGaS2Cl at its relaxed geometry from Alexandria. Energies are from GGA-PBE.

Cell lengths 4.593, 4.593, 5.029 Å; angles 90.00, 90.00, 90.00 degrees
Positions (direct):
V  0.000  0.000  0.000
Ga  0.500  0.500  0.500
S  0.000  0.500  0.000
S  0.500  0.000  0.000
Cl  0.000  0.000  0.500

For the uncorrected formation energy, the calculation gives -466 meV per atom. The calculated total energy comes out at -24.6 eV/cell.